DFT (PBE) results for an optimized crystal structure of Pr3Sm3DyS8.

Geometry as POSCAR:
```
Pr3Sm3DyS8
1.0
-6.186 2.693 4.410
1.235 -7.926 -0.793
5.110 4.450 4.451
Pr S Sm Dy
3 8 3 1
Direct
0.000 0.500 0.000
0.000 0.000 0.000
0.500 0.500 0.000
0.243 0.995 0.738
0.243 0.486 0.738
0.747 0.494 0.742
0.757 0.005 0.262
0.253 0.506 0.258
0.757 0.514 0.262
0.751 0.995 0.738
0.249 0.005 0.262
0.500 0.000 0.500
0.000 0.500 0.500
0.500 0.500 0.500
0.000 0.000 0.500
```

**Crystal system**: trigonal
**DOS at the Fermi energy**: 7.0 states/eV per cell
**Uncorrected energy**: -0.4748 Ry per atom
**Volume**: 24.91 Å³ per atom
**Total magnetization**: 0.0 μB/f.u.
**Raw formation energy**: -2.05 eV per atom

***

DFT (PBE) results for an optimized crystal structure of Pr3SmDy3S8.

Geometry as POSCAR:
```
Pr3SmDy3S8
1.0
7.955 0.000 0.000
-3.978 6.890 -0.024
0.000 -4.570 6.620
S Dy Sm Pr
8 3 1 3
Direct
0.256 0.512 0.268
0.262 0.012 0.262
0.750 0.012 0.262
0.750 0.499 0.262
0.250 0.988 0.738
0.744 0.488 0.732
0.250 0.501 0.738
0.738 0.988 0.738
0.500 0.500 0.500
0.000 0.500 0.500
0.500 0.000 0.500
0.000 0.000 0.500
0.000 0.500 0.000
0.500 0.500 0.000
0.000 0.000 0.000
```

**Crystal system**: trigonal
**DOS at the Fermi energy**: 6.9 states/eV per cell
**Uncorrected energy**: -0.4730 Ry per atom
**Volume**: 24.13 Å³ per atom
**Total magnetization**: 0.0 μB/f.u.
**Raw formation energy**: -2.04 eV per atom

***

DFT (PBE) results for an optimized crystal structure of SrPr2DyS4.

Geometry as POSCAR:
```
SrPr2DyS4
1.0
4.056 0.000 0.000
0.000 7.121 -0.181
0.000 2.468 6.625
Sr Pr S Dy
1 2 4 1
Direct
0.500 0.500 0.000
0.500 0.000 0.500
0.000 0.000 0.000
0.500 0.262 0.737
0.000 0.746 0.741
0.000 0.254 0.259
0.500 0.738 0.263
0.000 0.500 0.500
```

**Crystal system**: monoclinic
**DOS at the Fermi energy**: 3.0 states/eV per cell
**Uncorrected energy**: -0.4449 Ry per atom
**Volume**: 24.15 Å³ per atom
**Total magnetization**: 0.0 μB/f.u.
**Raw formation energy**: -2.01 eV per atom

***

DFT (PBE) results for an optimized crystal structure of Sr2PrDyS4.

Geometry as POSCAR:
```
Sr2PrDyS4
1.0
-0.940 3.407 -2.064
-3.376 -3.890 -4.884
-4.694 1.853 5.195
Sr S Dy Pr
2 4 1 1
Direct
0.500 0.000 0.500
0.000 0.500 0.500
0.500 0.236 0.233
0.000 0.245 0.761
0.500 0.764 0.767
0.000 0.755 0.239
0.000 0.000 0.000
0.500 0.500 0.000
```

**Crystal system**: monoclinic
**DOS at the Fermi energy**: 3.5 states/eV per cell
**Uncorrected energy**: -0.4185 Ry per atom
**Volume**: 24.87 Å³ per atom
**Total magnetization**: 0.0 μB/f.u.
**Raw formation energy**: -2.04 eV per atom

***

DFT (PBE) results for an optimized crystal structure of TbPr2DyS4.

Geometry as POSCAR:
```
TbPr2DyS4
1.0
3.951 0.000 0.000
0.000 6.890 0.130
0.000 -2.399 6.663
Tb S Pr Dy
1 4 2 1
Direct
0.000 0.000 0.000
0.000 0.258 0.769
0.500 0.755 0.768
0.500 0.245 0.232
0.000 0.742 0.231
0.500 0.000 0.500
0.000 0.500 0.500
0.500 0.500 0.000
```

**Crystal system**: monoclinic
**DOS at the Fermi energy**: 4.1 states/eV per cell
**Uncorrected energy**: -0.4725 Ry per atom
**Volume**: 22.83 Å³ per atom
**Total magnetization**: 0.0 μB/f.u.
**Raw formation energy**: -2.02 eV per atom

***

DFT (PBE) results for an optimized crystal structure of Tb4PrDyS8.

Geometry as POSCAR:
```
Tb4PrDyS8
1.0
8.137 0.000 0.000
4.069 7.047 0.000
4.069 2.349 6.635
Tb S Pr Dy
4 8 1 1
Direct
0.502 0.999 0.499
0.999 0.999 0.499
0.999 0.502 0.499
0.625 0.625 0.126
0.785 0.238 0.740
0.238 0.785 0.740
0.757 0.757 0.730
0.238 0.238 0.740
0.239 0.239 0.284
0.228 0.758 0.256
0.758 0.758 0.256
0.758 0.228 0.256
0.375 0.375 0.875
0.999 0.999 0.002
```

**Crystal system**: trigonal
**DOS at the Fermi energy**: 8.3 states/eV per cell
**Uncorrected energy**: -0.4616 Ry per atom
**Volume**: 27.18 Å³ per atom
**Total magnetization**: 0.0 μB/f.u.
**Raw formation energy**: -1.93 eV per atom